Crystalline TaZnW2 at its relaxed geometry. Source: Alexandria via LeMat-Bulk, functional PBE.

It has space group P4mm (No. 99), with a = 2.712 Å, b = 2.712 Å, c = 8.893 Å, α = 90.00°, β = 90.00° and γ = 90.00°. Symmetry generates all atoms from Ta at (0.000, 0.000, 0.000), Zn at (0.500, 0.500, 0.756), W at (0.000, 0.000, 0.522) and W at (0.500, 0.500, 0.263).

The calculated formation energy comes out at 1.03 eV/f.u. As for the total magnetic moment: 0.00 μB per atom.